(w)
DySc2Bi | GGA-PBE | relaxed

The theoretical density is 6768 kg/m3.

It has space group R-3m (No. 166, hexagonal axes), with a = 3.3899 Å, b = 3.3899 Å, c = 34.1252 Å, α = 90.00°, β = 90.00° and γ = 120.00°. The asymmetric unit holds Dy at (0.0000, 0.0000, 0.0000), Sc at (0.0000, 0.0000, 0.0935) and Bi at (0.0000, 0.0000, 0.5000).



(x)
DySc2Bi | GGA-PBE | relaxed

The theoretical density is 6986 kg/m3.

It has space group R3m (No. 160, hexagonal axes), with a = 3.5196 Å, b = 3.5196 Å, c = 30.6666 Å, α = 90.00°, β = 90.00° and γ = 120.00°. The asymmetric unit holds Dy at (0.0000, 0.0000, 0.0000), Sc at (0.0000, 0.0000, 0.5801), Sc at (0.0000, 0.0000, 0.7537) and Bi at (0.0000, 0.0000, 0.1667).



The most stable of them is (x).



(w)
Dy5Bi4Se | GGA-PBE | relaxed

The theoretical density is 9484 kg/m3.

It has space group I4/mmm (No. 139), with a = 4.4125 Å, b = 4.4125 Å, c = 31.0658 Å, α = 90.00°, β = 90.00° and γ = 90.00°. The asymmetric unit holds Dy at (0.0000, 0.0000, 0.0000), Dy at (0.0000, 0.0000, 0.2011), Dy at (0.0000, 0.0000, 0.4063), Bi at (0.0000, 0.0000, 0.0992), Bi at (0.0000, 0.0000, 0.3028) and Se at (0.0000, 0.0000, 0.5000).



(x)
Dy5Bi4Se | GGA-PBE | relaxed

The theoretical density is 9502 kg/m3.

It has space group I4/m (No. 87), with a = 9.8306 Å, b = 9.8306 Å, c = 6.2470 Å, α = 90.00°, β = 90.00° and γ = 90.00°. The asymmetric unit holds Dy at (0.0000, 0.0000, 0.0000), Dy at (0.0997, 0.7113, 0.5000), Bi at (0.0952, 0.6980, 0.0000) and Se at (0.0000, 0.0000, 0.5000).



The most stable of them is (x).



(w)
Dy2BiSe | GGA-PBE | relaxed

The theoretical density is 9186 kg/m3.

It has space group R-3m (No. 166, hexagonal axes), with a = 4.2748 Å, b = 4.2748 Å, c = 21.0047 Å, α = 90.00°, β = 90.00° and γ = 120.00°. The asymmetric unit holds Dy at (0.0000, 0.0000, 0.2428), Bi at (0.0000, 0.0000, 0.0000) and Se at (0.0000, 0.0000, 0.5000).



(x)
Dy2BiSe | GGA-PBE | relaxed

The theoretical density is 9095 kg/m3.

It has space group R3m (No. 160, hexagonal axes), with a = 4.2061 Å, b = 4.2061 Å, c = 21.9118 Å, α = 90.00°, β = 90.00° and γ = 120.00°. The asymmetric unit holds Dy at (0.0000, 0.0000, 0.0000), Dy at (0.0000, 0.0000, 0.1833), Bi at (0.0000, 0.0000, 0.4248) and Se at (0.0000, 0.0000, 0.5949).



The most stable of them is (w).